First-principles (PBE with a Hubbard U) data for crystalline Cs3Mn2CdF9 at its relaxed geometry, as listed in Alexandria via LeMat-Bulk.

Magnetization, μB per formula unit: 10.00
Electronic total energy, eV/atom: -5.004

a b c (Å): 6.285 6.285 7.700
angles (deg): 90.00 90.00 120.00
Element x y z (fractional)
Cs  0.000  0.000  0.000
Cs  0.333  0.667  0.666
Cs  0.667  0.333  0.334
Mn  0.333  0.667  0.161
Mn  0.667  0.333  0.839
Cd  0.000  0.000  0.500
F  0.000  0.500  0.000
F  0.171  0.343  0.326
F  0.171  0.829  0.326
F  0.343  0.171  0.674
F  0.500  0.000  0.000
F  0.500  0.500  0.000
F  0.657  0.829  0.326
F  0.829  0.171  0.674
F  0.829  0.657  0.674